Record 1
VASP calculation (PBE-GGA) on a relaxed structure of GdHo2Er.

a = 3.5302 Å, b = 3.5302 Å, c = 10.0057 Å
α = 90.00°, β = 90.00°, γ = 90.00°
Closest atoms and distances in Å follow each position.
Space group P4/mmm (No. 123)
Inequivalent atoms, fractional coordinates:
Gd 0.0000 0.0000 0.0000 [1 per cell]  4 Gd 3.53, 8 Ho 3.56
Ho 0.5000 0.5000 0.2530 [2 per cell]  4 Er 3.51, 4 Ho 3.53, 4 Gd 3.56
Er 0.0000 0.0000 0.5000 [1 per cell]  8 Ho 3.51, 4 Er 3.53

Computed properties:
Calculated formation energy   0.025 eV per atom
E above lowest polymorph   0.9 kJ/mol of formula units

***

Record 2
VASP calculation (PBE-GGA) on a relaxed structure of Dy2CrWN5.

a = 3.1869 Å, b = 12.9120 Å, c = 10.1334 Å
α = 90.00°, β = 90.00°, γ = 90.00°
Closest atoms and distances in Å follow each position.
Space group Cmc2_1 (No. 36)
Inequivalent atoms, fractional coordinates:
Dy 0.0000 0.1072 0.0000 [4 per cell]  8 N 2.33-2.60
Dy 0.0000 0.1443 0.5948 [4 per cell]  7 N 2.35-2.62
Cr 0.0000 0.4800 0.7629 [4 per cell]  4 N 1.82-2.01
W 0.0000 0.2180 0.3115 [4 per cell]  5 N 1.92-2.16
N 0.0000 0.0446 0.3458 [4 per cell]  2 Cr 1.83
N 0.0000 0.2831 0.9480 [4 per cell]  2 W 2.11, 1 Dy 2.33
N 0.0000 0.3189 0.6762 [4 per cell]  2 W 2.16, 1 Cr 2.26, 1 Dy 2.40
N 0.0000 0.3668 0.3001 [4 per cell]  1 W 1.92, 1 Cr 2.01
N 0.0000 0.4895 0.0874 [4 per cell]  1 Cr 1.82

Computed properties:
Formation energy without anion corrections   -94.1 kJ per mole of atoms

***

Record 3
VASP calculation (PBE-GGA) on a relaxed structure of Be2FeB.

a = 3.9135 Å, b = 9.3498 Å, c = 3.8441 Å
α = 90.00°, β = 118.31°, γ = 90.00°
Closest atoms and distances in Å follow each position.
Space group C2/c (No. 15)
Inequivalent atoms, fractional coordinates:
Be 0.1854 0.0831 0.1020 [8 per cell]  2 B 1.91-1.96, 1 Be 2.01
Fe 0.0000 0.3369 0.2500 [4 per cell]  4 B 2.09-2.11, 2 Be 2.32
B 0.0000 0.2489 0.7500 [4 per cell]  4 Be 1.91-1.96, 2 B 1.99, 4 Fe 2.09-2.11

Computed properties:
Calculated formation energy   -0.261 eV per atom

***

Record 4
VASP calculation (PBE-GGA) on a relaxed structure of NaAcTcO6.

a = 4.5420 Å, b = 5.4414 Å, c = 5.6667 Å
α = 118.19°, β = 93.86°, γ = 90.82°
Closest atoms and distances in Å follow each position.
Space group P1 (No. 1)
Inequivalent atoms, fractional coordinates:
Na 0.0000 0.0000 0.0000 [1 per cell]  5 O 2.39-2.56
Ac 0.5301 0.3393 0.6754 [1 per cell]  9 O 2.58-2.76
Tc 0.1764 0.6837 0.3662 [1 per cell]  5 O 1.76-1.92
O 0.0326 0.0406 0.6003 [1 per cell]  1 Tc 1.92
O 0.0402 0.5621 0.6094 [1 per cell]  1 Tc 1.92
O 0.4060 0.3784 0.2415 [1 per cell]  1 Tc 1.84
O 0.4131 0.8666 0.2423 [1 per cell]  1 Tc 1.84
O 0.5232 0.8590 0.7138 [1 per cell]  1 Tc 2.24, 1 Na 2.49
O 0.8922 0.5496 0.1025 [1 per cell]  1 Tc 1.76

Computed properties:
Formation energy without anion corrections   -175.0 kJ per mole of atoms

***

Record 5
VASP calculation (PBE-GGA) on a relaxed structure of TbPr2Si6.

a = 7.1665 Å, b = 7.1665 Å, c = 4.1331 Å
α = 90.00°, β = 90.00°, γ = 120.00°
Closest atoms and distances in Å follow each position.
Space group P6/mmm (No. 191)
Inequivalent atoms, fractional coordinates:
Tb 0.0000 0.0000 0.0000 [1 per cell]  12 Si 3.14
Pr 0.3333 0.6667 0.0000 [2 per cell]  12 Si 3.17
Si 0.0000 0.3306 0.5000 [6 per cell]  3 Si 2.37-2.43

Computed properties:
Formation energy without anion corrections   -53.9 kJ per mole of atoms

***

Record 6
VASP calculation (PBE-GGA) on a relaxed structure of TlInBiPb3.

a = 7.9898 Å, b = 4.8739 Å, c = 9.9993 Å
α = 90.00°, β = 106.90°, γ = 90.00°
Closest atoms and distances in Å follow each position.
Space group P2_1/m (No. 11)
Inequivalent atoms, fractional coordinates:
Tl 0.1668 0.2500 0.2933 [2 per cell]  8 Pb 3.44-3.64, 3 Bi 3.50-3.79, 1 In 3.57
In 0.4994 0.2500 0.1197 [2 per cell]  2 Bi 3.37, 2 In 3.42, 7 Pb 3.44-3.63, 1 Tl 3.57
Bi 0.4948 0.7500 0.3518 [2 per cell]  2 In 3.37, 5 Pb 3.40-3.54, 2 Tl 3.50
Pb 0.1663 0.2500 0.7893 [2 per cell]  1 Bi 3.40, 6 Pb 3.48-3.63, 2 Tl 3.53, 3 In 3.53-3.59
Pb 0.1706 0.7500 0.0381 [2 per cell]  1 Bi 3.44, 3 In 3.44-3.50, 5 Pb 3.48-3.59, 3 Tl 3.53-3.61
Pb 0.1803 0.7500 0.5386 [2 per cell]  3 Tl 3.44-3.64, 3 Bi 3.50-3.54, 5 Pb 3.52-3.68, 1 In 3.63

Computed properties:
Calculated formation energy   0.014 eV per atom

***

Record 7
VASP calculation (PBE-GGA) on a relaxed structure of KMnSi2.

a = 2.9784 Å, b = 2.9784 Å, c = 7.8026 Å
α = 90.00°, β = 90.00°, γ = 90.00°
Closest atoms and distances in Å follow each position.
Space group P4/mmm (No. 123)
Inequivalent atoms, fractional coordinates:
K 0.0000 0.0000 0.0000 [1 per cell]  4 K 2.98
Mn 0.0000 0.0000 0.5000 [1 per cell]  8 Si 2.46
Si 0.5000 0.5000 0.3376 [2 per cell]  4 Mn 2.46, 1 Si 2.53

Computed properties:
Formation energy without anion corrections   8.2 kJ per mole of atoms
E above lowest polymorph   3.1 kJ/mol of formula units

***

Record 8
VASP calculation (PBE-GGA) on a relaxed structure of Cr2ReCl.

a = 4.7692 Å, b = 4.7692 Å, c = 4.9430 Å
α = 90.00°, β = 90.00°, γ = 90.00°
Closest atoms and distances in Å follow each position.
Space group I-4m2 (No. 119)
Inequivalent atoms, fractional coordinates:
Cr 0.0000 0.0000 0.0000 [2 per cell]  2 Cl 2.47, 4 Cr 2.69, 4 Re 2.69
Cr 0.0000 0.5000 0.2500 [2 per cell]  2 Re 2.47, 4 Cr 2.69, 4 Cl 2.69
Re 0.0000 0.5000 0.7500 [2 per cell]  6 Cr 2.47-2.69, 4 Cl 2.69
Cl 0.0000 0.0000 0.5000 [2 per cell]  6 Cr 2.47-2.69, 4 Re 2.69

Computed properties:
Formation energy without anion corrections   96.7 kJ per mole of atoms
E above lowest polymorph   322.3 kJ/mol of formula units

***

Record 9
VASP calculation (PBE-GGA) on a relaxed structure of K2Be.

a = 14.8539 Å, b = 4.7770 Å, c = 9.9318 Å
α = 90.00°, β = 129.87°, γ = 90.00°
Closest atoms and distances in Å follow each position.
Space group C2/m (No. 12)
Inequivalent atoms, fractional coordinates:
K 0.0802 0.0000 0.3735 [4 per cell]  4 Be 3.42-3.43
K 0.1915 0.5000 0.0953 [4 per cell]  3 Be 3.56-3.85
Be 0.0838 0.5000 0.6248 [4 per cell]  1 Be 2.10

Computed properties:
Calculated formation energy   0.613 eV per atom
E above lowest polymorph   44.6 kJ/mol of formula units

***

Record 10
VASP calculation (PBE-GGA) on a relaxed structure of CaTlAg2.

a = 4.5102 Å, b = 7.5207 Å, c = 6.1928 Å
α = 90.00°, β = 111.15°, γ = 90.00°
Closest atoms and distances in Å follow each position.
Space group P2_1/m (No. 11)
Inequivalent atoms, fractional coordinates:
Ca 0.0637 0.2500 0.1250 [2 per cell]  8 Ag 3.29-3.38, 3 Tl 3.31-3.34
Tl 0.2255 0.7500 0.4535 [2 per cell]  6 Ag 2.95-2.97
Ag 0.3857 0.0587 0.7694 [4 per cell]  2 Ag 2.81-2.88, 3 Tl 2.95-2.97

Computed properties:
Calculated formation energy   -0.188 eV per atom

***

Record 11
VASP calculation (PBE-GGA) on a relaxed structure of RbLi2In.

a = 3.8464 Å, b = 3.8464 Å, c = 8.5366 Å
α = 90.00°, β = 90.00°, γ = 90.00°
Closest atoms and distances in Å follow each position.
Space group P4/mmm (No. 123)
Inequivalent atoms, fractional coordinates:
Rb 0.0000 0.0000 0.0000 [1 per cell]  4 Rb 3.85, 8 Li 4.00, 2 In 4.27
Li 0.5000 0.5000 0.3431 [2 per cell]  1 Li 2.68
In 0.0000 0.0000 0.5000 [1 per cell]  8 Li 3.03

Computed properties:
Calculated formation energy   -0.002 eV per atom

***

Record 12
VASP calculation (PBE-GGA) on a relaxed structure of Tl3HgRh.

a = 5.3715 Å, b = 9.2804 Å, c = 5.4085 Å
α = 90.00°, β = 103.69°, γ = 90.00°
Closest atoms and distances in Å follow each position.
Space group P2_1/m (No. 11)
Inequivalent atoms, fractional coordinates:
Tl 0.1388 0.2500 0.2145 [2 per cell]  2 Rh 2.74
Tl 0.2814 0.0425 0.7436 [4 per cell]  2 Rh 2.85-3.02
Hg 0.2630 0.7500 0.3593 [2 per cell]  2 Rh 2.77-2.79
Rh 0.3857 0.7500 0.8906 [2 per cell]  6 Tl 2.74-3.02, 2 Hg 2.77-2.79

Computed properties:
Calculated formation energy   0.051 eV per atom
E above lowest polymorph   35.4 kJ/mol of formula units

***

Number 1: density of states at the Fermi level 1.478 states/eV/atom, volume 31.2 Å³/atom. Number 2: density of states at the Fermi level 0.283 states/eV/atom, volume 11.6 Å³/atom. Number 3: density of states at the Fermi level 0.397 states/eV/atom, volume 7.7 Å³/atom. Number 4: density of states at the Fermi level 0.017 states/eV/atom, volume 13.7 Å³/atom. Number 5: density of states at the Fermi level 0.735 states/eV/atom, volume 20.4 Å³/atom. Number 6: density of states at the Fermi level 0.482 states/eV/atom, volume 31.0 Å³/atom. Number 7: density of states at the Fermi level 0.706 states/eV/atom, volume 17.3 Å³/atom. Number 8: density of states at the Fermi level 1.072 states/eV/atom, volume 14.1 Å³/atom. Number 9: density of states at the Fermi level 0.700 states/eV/atom, volume 45.1 Å³/atom. Number 10: density of states at the Fermi level 0.453 states/eV/atom, volume 24.5 Å³/atom. Number 11: density of states at the Fermi level 0.642 states/eV/atom, volume 31.6 Å³/atom. Number 12: density of states at the Fermi level 0.582 states/eV/atom, volume 26.2 Å³/atom.